# CoGeTeO, optimized geometry, DFT PBE+U
data_CoGeTeO
_chemical_formula_sum 'Co2 Ge2 Te2 O2'
_space_group_name_H-M_alt 'P 4/n m m'
_space_group_IT_number 129
_cell_length_a 4.225
_cell_length_b 4.225
_cell_length_c 7.168
_cell_angle_alpha 90.00
_cell_angle_beta 90.00
_cell_angle_gamma 90.00
loop_
_space_group_symop_operation_xyz
'x,y,z'
'-x,-y,-z'
'-y+1/2,x,z'
'y+1/2,-x,-z'
'-x+1/2,-y+1/2,z'
'x+1/2,y+1/2,-z'
'y,-x+1/2,z'
'-y,x+1/2,-z'
'x+1/2,-y,-z'
'-x+1/2,y,z'
'-y,-x,-z'
'y,x,z'
'-x,y+1/2,-z'
'x,-y+1/2,z'
'y+1/2,x+1/2,-z'
'-y+1/2,-x+1/2,z'
loop_
_atom_site_label
_atom_site_type_symbol
_atom_site_fract_x
_atom_site_fract_y
_atom_site_fract_z
Co1 Co 0.250 0.750 0.000
Ge1 Ge 0.250 0.250 0.177
Te1 Te 0.250 0.250 0.735
O1 O 0.250 0.250 0.423
# E, eV/atom: -4.46
# Crystal system: tetragonal